The following is a DFT calculation (PBE) of an optimized crystal structure of Li2LaTbS4.

Its final energy is -5.566 eV/atom. As for the uncorrected formation energy: -42.19 kcal/mol of atoms.

The structure belongs to space group P2/m (No. 10); the cell edges are 6.6124, 4.0437 and 7.0187 Å and the angles 90.00°, 110.76° and 90.00°. The inequivalent atoms are Li at (0.0000, 0.0000, 0.0000), Li at (0.0000, 0.5000, 0.5000), La at (0.5000, 0.0000, 0.5000), Tb at (0.5000, 0.5000, 0.0000), S at (0.2443, 0.5000, 0.2370) and S at (0.2475, 0.0000, 0.7585).

=====

The following is a DFT calculation (PBE) of an optimized crystal structure of LiLa2TbS4.

Its final energy is -6.082 eV/atom. As for the uncorrected formation energy: -45.40 kcal/mol of atoms.

The structure belongs to space group P2/m (No. 10); the cell edges are 6.9285, 4.0461 and 6.9990 Å and the angles 90.00°, 109.68° and 90.00°. The inequivalent atoms are Li at (0.0000, 0.0000, 0.0000), La at (0.5000, 0.0000, 0.5000), La at (0.5000, 0.5000, 0.0000), Tb at (0.0000, 0.5000, 0.5000), S at (0.2309, 0.0000, 0.7471) and S at (0.2322, 0.5000, 0.2434).

=====

The following is a DFT calculation (PBE) of an optimized crystal structure of LiLaTeS.

Its final energy is -5.109 eV/atom. As for the uncorrected formation energy: -36.47 kcal/mol of atoms.

The structure belongs to space group P4/nmm (No. 129, origin choice 2); the cell edges are 4.6569, 4.6569 and 9.8383 Å and the angles 90.00°, 90.00° and 90.00°. The inequivalent atoms are Li at (0.2500, 0.7500, 0.0000), La at (0.2500, 0.2500, 0.3424), Te at (0.2500, 0.2500, 0.8360) and S at (0.2500, 0.7500, 0.5000).

=====

The following is a DFT calculation (PBE) of an optimized crystal structure of Li2LaTeS.

Its final energy is -4.513 eV/atom. As for the uncorrected formation energy: -30.16 kcal/mol of atoms.

The structure belongs to space group P4/mmm (No. 123); the cell edges are 4.6422, 4.6422 and 5.7598 Å and the angles 90.00°, 90.00° and 90.00°. The inequivalent atoms are Li at (0.0000, 0.5000, 0.0000), La at (0.0000, 0.0000, 0.5000), Te at (0.5000, 0.5000, 0.5000) and S at (0.0000, 0.0000, 0.0000).

=====

The following is a DFT calculation (PBE) of an optimized crystal structure of Li2La3Te2S4.

Its final energy is -5.387 eV/atom. As for the uncorrected formation energy: -37.43 kcal/mol of atoms.

The structure belongs to space group I4/mmm (No. 139); the cell edges are 4.6883, 4.6883 and 24.2021 Å and the angles 90.00°, 90.00° and 90.00°. The inequivalent atoms are Li at (0.0000, 0.0000, 0.0905), La at (0.0000, 0.0000, 0.3429), La at (0.0000, 0.0000, 0.5000), Te at (0.0000, 0.0000, 0.2065) and S at (0.0000, 0.5000, 0.0770).

=====

The following is a DFT calculation (PBE) of an optimized crystal structure of LiLa3Th4S8.

Its final energy is -6.870 eV/atom. As for the uncorrected formation energy: -44.01 kcal/mol of atoms.

The structure belongs to space group R-3m (No. 166, hexagonal axes); the cell edges are 8.0967, 8.0967 and 20.0969 Å and the angles 90.00°, 90.00° and 120.00°. The inequivalent atoms are Li at (0.0000, 0.0000, 0.0000), La at (0.0000, 0.5000, 0.0000), Th at (0.0000, 0.0000, 0.5000), Th at (0.0000, 0.5000, 0.5000), S at (0.0000, 0.0000, 0.2481) and S at (0.0126, 0.5063, 0.7494).

=====

The following is a DFT calculation (PBE) of an optimized crystal structure of LiLa2ThS5.

Its final energy is -6.377 eV/atom. As for the uncorrected formation energy: -45.02 kcal/mol of atoms.

The structure belongs to space group Cmc2_1 (No. 36); the cell edges are 4.0516, 16.8705 and 12.1948 Å and the angles 90.00°, 90.00° and 90.00°. The inequivalent atoms are Li at (0.0000, 0.0094, 0.0000), La at (0.0000, 0.3761, 0.8240), La at (0.0000, 0.3890, 0.2113), Th at (0.0000, 0.3044, 0.5264), S at (0.0000, 0.0012, 0.3049), S at (0.0000, 0.1389, 0.5244), S at (0.0000, 0.1898, 0.8663), S at (0.0000, 0.2078, 0.1880) and S at (0.0000, 0.4572, 0.5871).

=====

The following is a DFT calculation (PBE) of an optimized crystal structure of LiLa3Th3S8.

Its final energy is -6.745 eV/atom. As for the uncorrected formation energy: -44.89 kcal/mol of atoms.

The structure belongs to space group R-3m (No. 166, hexagonal axes); the cell edges are 8.0893, 8.0893 and 20.1066 Å and the angles 90.00°, 90.00° and 120.00°. The inequivalent atoms are Li at (0.0000, 0.0000, 0.0000), La at (0.0000, 0.5000, 0.5000), Th at (0.0000, 0.5000, 0.0000), S at (0.0000, 0.0000, 0.2516) and S at (0.0069, 0.5035, 0.7449).

=====

The following is a DFT calculation (PBE) of an optimized crystal structure of LiLa2TiS5.

Its final energy is -6.268 eV/atom. As for the uncorrected formation energy: -41.29 kcal/mol of atoms.

The structure belongs to space group Cmc2_1 (No. 36); the cell edges are 3.9774, 16.3414 and 11.5248 Å and the angles 90.00°, 90.00° and 90.00°. The inequivalent atoms are Li at (0.0000, 0.0542, 0.0000), La at (0.0000, 0.3686, 0.8497), La at (0.0000, 0.3868, 0.2370), Ti at (0.0000, 0.3044, 0.5581), S at (0.0000, 0.0038, 0.3169), S at (0.0000, 0.1483, 0.5480), S at (0.0000, 0.1922, 0.9128), S at (0.0000, 0.2120, 0.1993) and S at (0.0000, 0.4438, 0.5987).

=====

The following is a DFT calculation (PBE) of an optimized crystal structure of Li2LaTlS.

Its final energy is -3.820 eV/atom. As for the uncorrected formation energy: -17.76 kcal/mol of atoms.

The structure belongs to space group P4/mmm (No. 123); the cell edges are 4.7492, 4.7492 and 5.6966 Å and the angles 90.00°, 90.00° and 90.00°. The inequivalent atoms are Li at (0.0000, 0.5000, 0.0000), La at (0.0000, 0.0000, 0.5000), Tl at (0.5000, 0.5000, 0.5000) and S at (0.0000, 0.0000, 0.0000).

=====

The following is a DFT calculation (PBE) of an optimized crystal structure of LiLaTmS3.

Its final energy is -5.832 eV/atom. As for the uncorrected formation energy: -43.41 kcal/mol of atoms.

The structure belongs to space group P2_1/m (No. 11); the cell edges are 8.1212, 3.8815 and 8.5220 Å and the angles 90.00°, 103.80° and 90.00°. The inequivalent atoms are Li at (0.0880, 0.2500, 0.0855), La at (0.1902, 0.2500, 0.7255), Tm at (0.3337, 0.7500, 0.3384), S at (0.1033, 0.2500, 0.3650), S at (0.2161, 0.7500, 0.0068) and S at (0.4379, 0.7500, 0.6689).

=====

The following is a DFT calculation (PBE) of an optimized crystal structure of Li3LaTm2S6.

Its final energy is -5.542 eV/atom. As for the uncorrected formation energy: -42.52 kcal/mol of atoms.

The structure belongs to space group C2/m (No. 12); the cell edges are 6.8584, 11.9072 and 6.5735 Å and the angles 90.00°, 110.02° and 90.00°. The inequivalent atoms are Li at (0.0000, 0.0000, 0.0000), Li at (0.0000, 0.3251, 0.0000), La at (0.0000, 0.5000, 0.5000), Tm at (0.0000, 0.1661, 0.5000), S at (0.2331, 0.0000, 0.7521) and S at (0.2437, 0.1747, 0.2509).